Entry 1:
The following is a PBE+U calculation of an optimized crystal structure of ZnCr2TeF, from Alexandria.

abc: 4.227 4.227 5.964
angles: 90.00 90.00 90.00
Space group P4/mmm (No. 123)
Asymmetric unit:
Zn1 0.000 0.000 0.000 x1
Cr1 0.000 0.500 0.500 x2
Te1 0.500 0.500 0.000 x1
F1 0.500 0.500 0.500 x1



Entry 2:
The following is a PBE+U calculation of an optimized crystal structure of ThCr2F11, from Alexandria.

abc: 8.682 8.706 10.585
angles: 90.00 90.00 90.00
Space group Ibam (No. 72)
Asymmetric unit:
Th1 0.000 0.000 0.250 x4
Cr1 0.159 0.341 0.000 x8
F1 0.000 0.500 0.000 x4
F2 0.057 0.220 0.130 x16
F3 0.196 0.303 0.500 x8
F4 0.221 0.056 0.370 x16



Entry 3:
The following is a PBE+U calculation of an optimized crystal structure of TiCrF2, from Alexandria.

abc: 4.505 4.505 12.759
angles: 90.00 90.00 90.00
Space group I-42d (No. 122)
Asymmetric unit:
Ti1 0.000 0.000 0.000 x4
Cr1 0.000 0.000 0.500 x4
F1 0.132 0.250 0.125 x8

Distance to the lowest polymorph of the same formula ... 204 meV/atom



Results for uncorrected energy: -4.447, -6.075, -6.182 (in eV per atom, following the order of the records).
Results for V: 106.56, 800.15, 258.96 (in Å³/cell, following the order of the records).